Record 1
GGA-PBE LiVCuPt, optimized geometry; space-group type = No. 216; E_form = -0.23 eV/atom
1.0
-1.497 -3.045 -2.522
-2.411 -3.080 1.606
-4.125 -0.150 -0.914
V Pt Cu Li
1 1 1 1
Direct
0.250 0.250 0.250
0.000 0.000 0.000
0.500 0.500 0.500
0.750 0.750 0.750

Record 2
GGA-PBE AsPbAu4, optimized geometry; space-group type = No. 216; E_form = 0.09 eV/atom
1.0
4.690 1.793 2.566
-0.110 4.699 3.115
0.444 -0.326 5.612
Pb Au As
1 4 1
Direct
0.750 0.750 0.750
0.876 0.375 0.375
0.375 0.375 0.876
0.375 0.375 0.375
0.375 0.876 0.375
0.000 0.000 0.000

Record 3
GGA-PBE CaLa3Tb3Se8, optimized geometry; space-group type = No. 166; formation energy (no corrections) = -1.946 eV/atom
1.0
-5.869 4.421 -3.931
0.716 -8.178 -1.434
-2.961 2.683 7.436
La Se Tb Ca
3 8 3 1
Direct
0.000 0.000 0.000
0.000 0.500 0.000
0.500 0.500 0.000
0.740 0.989 0.739
0.260 0.011 0.261
0.249 0.499 0.739
0.249 0.989 0.739
0.751 0.011 0.261
0.745 0.489 0.734
0.255 0.511 0.266
0.751 0.501 0.261
0.500 0.500 0.500
0.500 0.000 0.500
0.000 0.500 0.500
0.000 0.000 0.500

Record 4
GGA-PBE Ce2Ga2Ge4Ru, optimized geometry; space-group type = No. 139; E_form = -0.54 eV/atom
1.0
-0.047 5.552 2.860
-1.676 -5.098 3.196
5.467 -2.597 -1.540
Ge Ce Ga Ru
4 2 2 1
Direct
0.000 0.279 0.721
0.557 0.279 0.279
0.000 0.721 0.279
0.443 0.721 0.721
0.500 0.250 0.750
0.500 0.750 0.250
0.000 0.286 0.286
0.000 0.714 0.714
0.000 0.000 0.000

Record 5
GGA-PBE MnTl3B, optimized geometry; space-group type = No. 221; relative energy among the computed polymorphs = 0 meV per atom; E_form = 0.97 eV/atom
1.0
4.957 0.000 0.000
0.000 4.957 0.000
0.000 0.000 4.957
Tl Mn B
3 1 1
Direct
0.000 0.000 0.500
0.000 0.500 0.000
0.500 0.000 0.000
0.500 0.500 0.500
0.000 0.000 0.000

Record 6
GGA-PBE Ca2ZrW, optimized geometry; space-group type = No. 12; relative energy among the computed polymorphs = 407 meV per atom; E_form = 0.79 eV/atom
1.0
6.323 0.021 -0.009
-3.561 5.225 -0.009
0.389 0.738 2.869
Ca Zr W
2 1 1
Direct
0.500 0.500 0.000
0.000 0.000 0.000
0.000 0.500 0.500
0.500 0.000 0.500

Record 7
GGA-PBE BaDyTe2F, optimized geometry; space-group type = No. 129; formation energy (no corrections) = -2.168 eV/atom
1.0
-0.469 -4.372 -0.691
4.201 -0.221 -1.455
4.972 -2.869 14.790
Ba F Dy Te
2 2 2 4
Direct
0.000 0.500 0.404
0.500 0.000 0.596
0.000 0.000 0.500
0.500 0.500 0.500
0.500 0.000 0.115
0.000 0.500 0.885
0.000 0.500 0.706
0.000 0.500 0.089
0.500 0.000 0.911
0.500 0.000 0.294

Record 8
GGA-PBE Dy2Ho3Cd, optimized geometry; space-group type = No. 123; relative energy among the computed polymorphs = 0 meV per atom; E_form = -0.09 eV/atom
1.0
-1.517 3.202 0.039
-3.174 -1.498 -0.491
-1.701 -0.975 13.975
Cd Ho Dy
1 3 2
Direct
0.500 0.500 0.500
0.000 0.000 0.000
0.000 0.000 0.647
0.000 0.000 0.353
0.500 0.500 0.823
0.500 0.500 0.177